Model 1:
VASP calculation (PBE) on crystalline Ta4Ir at its relaxed geometry.

Magnetization, μB/f.u.: 0.0
Calculated density, g/cm3: 15.85
Density of states at the Fermi level, states/eV/atom: 0.9281

Cell lengths 3.617, 3.617, 14.665 Å; angles 90.00, 90.00, 90.00 degrees
Space group I4/mmm (No. 139)
One atom of each set of equivalent atoms:
Ta  0.000  0.000  0.089 x4
Ta  0.000  0.500  0.250 x4
Ir  0.000  0.000  0.500 x2

***

Model 2:
VASP calculation (PBE) on crystalline Ta4Ir at its relaxed geometry.

Magnetization, μB/f.u.: 0.0
Calculated density, g/cm3: 13.66
Density of states at the Fermi level, states/eV/atom: 1.4250

Cell lengths 4.811, 4.811, 4.811 Å; angles 90.00, 90.00, 90.00 degrees
Space group Pm-3m (No. 221)
One atom of each set of equivalent atoms:
Ta  0.000  0.000  0.000 x1
Ta  0.000  0.500  0.500 x3
Ir  0.500  0.500  0.500 x1

***

Best to worst by energy: model 1, model 2.

***

Model 1:
VASP calculation (PBE) on crystalline Ta5Ir3 at its relaxed geometry.

Magnetization, μB/f.u.: 0.0
Calculated density, g/cm3: 17.91
Density of states at the Fermi level, states/eV/atom: 1.1099

Cell lengths 11.248, 10.287, 5.217 Å; angles 90.00, 114.46, 90.00 degrees
Space group C2/c (No. 15)
One atom of each set of equivalent atoms:
Ta  0.000  0.007  0.250 x4
Ta  0.074  0.279  0.566 x8
Ta  0.221  0.425  0.229 x8
Ir  0.000  0.494  0.750 x4
Ir  0.172  0.170  0.143 x8

***

Model 2:
VASP calculation (PBE) on crystalline Ta5Ir3 at its relaxed geometry.

Magnetization, μB/f.u.: 0.0
Calculated density, g/cm3: 18.37
Density of states at the Fermi level, states/eV/atom: 0.8983

Cell lengths 7.071, 8.741, 4.332 Å; angles 90.00, 90.00, 90.00 degrees
Space group Cmmm (No. 65)
One atom of each set of equivalent atoms:
Ta  0.000  0.000  0.000 x2
Ta  0.244  0.000  0.500 x4
Ta  0.250  0.250  0.000 x4
Ir  0.000  0.268  0.500 x4
Ir  0.000  0.500  0.000 x2

***

Model 3:
VASP calculation (PBE) on crystalline Ta5Ir3 at its relaxed geometry.

Magnetization, μB/f.u.: 0.0
Calculated density, g/cm3: 17.73
Density of states at the Fermi level, states/eV/atom: 0.8975

Cell lengths 7.8842, 7.8842, 5.1536 Å; angles 90.00, 90.00, 120.00 degrees
Space group P6_3/mcm (No. 193)
One atom of each set of equivalent atoms:
Ta  0.0000  0.2439  0.2500 x6
Ta  0.3333  0.6667  0.0000 x4
Ir  0.0000  0.3995  0.7500 x6

***

Best to worst by energy: model 1, model 3, model 2.

***

Model 1:
VASP calculation (PBE) on crystalline Ta4Ir3 at its relaxed geometry.

Magnetization, μB/f.u.: 0.0
Calculated density, g/cm3: 18.32
Density of states at the Fermi level, states/eV/atom: 0.8773

Cell lengths 3.322, 3.322, 21.355 Å; angles 90.00, 90.00, 90.00 degrees
Space group I4/mmm (No. 139)
One atom of each set of equivalent atoms:
Ta  0.000  0.000  0.071 x4
Ta  0.000  0.000  0.348 x4
Ir  0.000  0.000  0.209 x4
Ir  0.000  0.000  0.500 x2

***

Model 2:
VASP calculation (PBE) on crystalline Ta4Ir3 at its relaxed geometry.

Magnetization, μB/f.u.: 0.0
Calculated density, g/cm3: 18.42
Density of states at the Fermi level, states/eV/atom: 0.7981

Cell lengths 5.2154, 5.2154, 4.9767 Å; angles 90.00, 90.00, 120.00 degrees
Space group P6/mmm (No. 191)
One atom of each set of equivalent atoms:
Ta  0.0000  0.0000  0.2490 x2
Ta  0.3333  0.6667  0.0000 x2
Ir  0.0000  0.5000  0.5000 x3

***

Best to worst by energy: model 2, model 1.

***

Model 1:
VASP calculation (PBE) on crystalline TaTcIr at its relaxed geometry.

Magnetization, μB/f.u.: 0.0
Calculated density, g/cm3: 16.59
Density of states at the Fermi level, states/eV/atom: 1.0207

Cell lengths 2.783, 3.933, 8.621 Å; angles 90.00, 90.00, 90.00 degrees
Space group Imm2 (No. 44)
One atom of each set of equivalent atoms:
Ta  0.000  0.000  0.000 x2
Tc  0.000  0.000  0.672 x2
Ir  0.000  0.000  0.329 x2

***

Model 2:
VASP calculation (PBE) on crystalline TaTcIr at its relaxed geometry.

Magnetization, μB/f.u.: 0.0
Calculated density, g/cm3: 16.25
Density of states at the Fermi level, states/eV/atom: 1.0819

Cell lengths 3.227, 3.227, 9.246 Å; angles 90.00, 90.00, 90.00 degrees
Space group I4mm (No. 107)
One atom of each set of equivalent atoms:
Ta  0.000  0.000  0.000 x2
Tc  0.000  0.000  0.653 x2
Ir  0.000  0.000  0.340 x2

***

Best to worst by energy: model 1, model 2.